Entry 1:
VASP calculation (PBE-GGA) on a relaxed structure of InAs2SeO.

Calculated values
Its symmetry is P4/mmm, No. 123. As for the energy above the lowest structure with this stoichiometry: 1035 meV per atom. The calculation puts the energy at -2.831 eV/atom. The energy relative to the elements, uncorrected is 1.265 eV/atom.

abc: 5.281 5.281 5.290
angles: 90.00 90.00 90.00
Atoms (fractional coordinates):
As1 0.000 0.500 0.000
As2 0.500 0.000 0.000
O1 0.500 0.500 0.500
Se1 0.000 0.000 0.500
In1 0.000 0.000 0.000

---

Entry 2:
VASP calculation (PBE-GGA) on a relaxed structure of InAsSe2O.

Calculated values
Its symmetry is P4/mmm, No. 123. As for the energy above the lowest structure with this stoichiometry: 0 meV per atom. The calculation puts the energy at -3.574 eV/atom. The energy relative to the elements, uncorrected is 0.289 eV/atom.

abc: 4.664 4.664 4.724
angles: 90.00 90.00 90.00
Atoms (fractional coordinates):
As1 0.000 0.000 0.500
O1 0.000 0.000 0.000
Se1 0.000 0.500 0.000
Se2 0.500 0.000 0.000
In1 0.500 0.500 0.500

---

Entry 3:
VASP calculation (PBE-GGA) on a relaxed structure of SmInAs2O8.

Calculated values
Its symmetry is I-4, No. 82. The calculation puts the energy at -6.514 eV/atom. The energy relative to the elements, uncorrected is -1.813 eV/atom.

abc: 5.022 5.022 6.755
angles: 111.82 111.82 90.00
Atoms (fractional coordinates):
Sm1 0.750 0.250 0.500
In1 0.000 0.000 0.000
As1 0.500 0.500 0.000
As2 0.250 0.750 0.500
O1 0.735 0.830 0.152
O2 0.418 0.322 0.152
O3 0.582 0.682 0.660
O4 0.079 0.978 0.660
O5 0.022 0.418 0.340
O6 0.318 0.921 0.340
O7 0.170 0.582 0.848
O8 0.678 0.265 0.848

---

Entry 4:
VASP calculation (PBE-GGA) on a relaxed structure of InSn2AsO.

Calculated values
Its symmetry is P4/mmm, No. 123. As for the energy above the lowest structure with this stoichiometry: 0 meV per atom. The calculation puts the energy at -3.842 eV/atom. The energy relative to the elements, uncorrected is 0.228 eV/atom.

abc: 5.722 3.989 5.722
angles: 90.00 90.00 90.00
Atoms (fractional coordinates):
As1 0.500 0.500 0.500
Sn1 0.000 0.000 0.500
Sn2 0.500 0.000 0.000
O1 0.000 0.500 0.000
In1 0.000 0.000 0.000

---

Entry 5:
VASP calculation (PBE-GGA) on a relaxed structure of InSn2AsO.

Calculated values
Its symmetry is P4/mmm, No. 123. As for the energy above the lowest structure with this stoichiometry: 825 meV per atom. The calculation puts the energy at -3.017 eV/atom. The energy relative to the elements, uncorrected is 1.053 eV/atom.

abc: 5.733 4.986 5.733
angles: 90.00 90.00 90.00
Atoms (fractional coordinates):
As1 0.000 0.500 0.000
Sn1 0.000 0.000 0.500
Sn2 0.500 0.000 0.000
O1 0.500 0.500 0.500
In1 0.000 0.000 0.000

---

Entry 6:
VASP calculation (PBE-GGA) on a relaxed structure of TlInAs2O7.

Calculated values
Its symmetry is P-1, No. 2. The calculation puts the energy at -5.756 eV/atom. The energy relative to the elements, uncorrected is -1.291 eV/atom.

abc: 7.992 8.809 10.737
angles: 91.08 89.94 105.97
Atoms (fractional coordinates):
Tl1 0.322 0.937 0.178
Tl2 0.678 0.063 0.822
Tl3 0.656 0.542 0.678
Tl4 0.344 0.458 0.322
In1 0.738 0.260 0.404
In2 0.262 0.740 0.596
In3 0.738 0.768 0.102
In4 0.262 0.232 0.898
As1 0.625 0.331 0.102
As2 0.067 0.327 0.641
As3 0.375 0.669 0.898
As4 0.933 0.673 0.359
As5 0.345 0.151 0.575
As6 0.054 0.798 0.869
As7 0.655 0.849 0.425
As8 0.946 0.202 0.131
O1 0.494 0.781 0.017
O2 0.049 0.773 0.711
O3 0.960 0.749 0.212
O4 0.496 0.288 0.493
O5 0.126 0.663 0.417
O6 0.173 0.974 0.931
O7 0.153 0.654 0.934
O8 0.504 0.712 0.507
O9 0.312 0.966 0.514
O10 0.767 0.505 0.367
O11 0.040 0.251 0.788
O12 0.951 0.227 0.289
O13 0.688 0.034 0.486
O14 0.874 0.337 0.583
O15 0.604 0.822 0.270
O16 0.156 0.262 0.080
O17 0.827 0.026 0.069
O18 0.400 0.485 0.881
O19 0.600 0.515 0.119
O20 0.844 0.738 0.920
O21 0.396 0.178 0.730
O22 0.573 0.221 0.235
O23 0.506 0.219 0.983
O24 0.861 0.811 0.455
O25 0.427 0.779 0.765
O26 0.139 0.189 0.545
O27 0.847 0.346 0.066
O28 0.233 0.495 0.633

---

Entry 7:
VASP calculation (PBE-GGA) on a relaxed structure of Tl2InAs2O6.

Calculated values
Its symmetry is C2/m, No. 12. The calculation puts the energy at -5.310 eV/atom. The energy relative to the elements, uncorrected is -1.081 eV/atom.

abc: 5.903 5.670 7.355
angles: 111.44 90.00 121.37
Atoms (fractional coordinates):
Tl1 0.704 0.408 0.168
Tl2 0.296 0.592 0.832
In1 0.500 0.000 0.500
As1 0.930 0.860 0.757
As2 0.070 0.140 0.243
O1 0.746 0.491 0.557
O2 0.201 0.933 0.276
O3 0.267 0.067 0.724
O4 0.799 0.067 0.724
O5 0.733 0.933 0.276
O6 0.254 0.509 0.443

---

Entry 8:
VASP calculation (PBE-GGA) on a relaxed structure of YInAs2O8.

Calculated values
Its symmetry is I-4m2, No. 119. The calculation puts the energy at -6.688 eV/atom. The energy relative to the elements, uncorrected is -1.840 eV/atom.

abc: 5.928 5.928 5.928
angles: 106.39 106.39 115.83
Atoms (fractional coordinates):
Y1 0.000 0.000 0.000
In1 0.250 0.750 0.500
As1 0.750 0.250 0.500
As2 0.500 0.500 0.000
O1 0.387 0.067 0.320
O2 0.320 0.502 0.183
O3 0.320 0.137 0.817
O4 0.747 0.067 0.680
O5 0.863 0.680 0.183
O6 0.933 0.253 0.320
O7 0.933 0.613 0.680
O8 0.498 0.680 0.817

---

Entry 9:
VASP calculation (PBE-GGA) on a relaxed structure of In2AsOs.

Calculated values
For the formation enthalpy at 0 K, the calculation gives 0.5011 eV per atom. Its symmetry is R-3m, No. 166. The calculation puts the energy at -4.838 eV/atom.

abc: 9.578 9.578 9.578
angles: 18.70 18.70 18.70
Atoms (fractional coordinates):
As1 0.750 0.750 0.750
Os1 0.250 0.250 0.250
In1 0.993 0.993 0.993
In2 0.507 0.507 0.507

---

Entry 10:
VASP calculation (PBE-GGA) on a relaxed structure of In2AsOs.

Calculated values
For the formation enthalpy at 0 K, the calculation gives 0.2111 eV per atom. Its symmetry is Amm2, No. 38. The calculation puts the energy at -5.128 eV/atom.

abc: 3.907 4.178 5.421
angles: 67.28 90.00 90.00
Atoms (fractional coordinates):
As1 0.500 0.550 0.774
Os1 0.000 0.699 0.478
In1 0.000 0.979 0.916
In2 0.500 0.272 0.332

---

Entry 11:
VASP calculation (PBE-GGA) on a relaxed structure of In2AsOs.

Calculated values
For the formation enthalpy at 0 K, the calculation gives 0.9641 eV per atom. Its symmetry is I-42d, No. 122. The calculation puts the energy at -4.375 eV/atom.

abc: 6.204 6.204 7.526
angles: 65.66 65.66 90.00
Atoms (fractional coordinates):
As1 0.500 0.500 0.000
As2 0.250 0.750 0.500
Os1 0.000 0.000 0.000
Os2 0.750 0.250 0.500
In1 0.631 0.125 0.250
In2 0.119 0.625 0.250
In3 0.375 0.369 0.750
In4 0.875 0.881 0.750

---

Entry 12:
VASP calculation (PBE-GGA) on a relaxed structure of InAsOs2.

Calculated values
For the formation enthalpy at 0 K, the calculation gives 0.7707 eV per atom. Its symmetry is I-42d, No. 122. As for the energy above the lowest structure with this stoichiometry: 472 meV per atom. The calculation puts the energy at -6.691 eV/atom.

abc: 7.247 7.247 5.813
angles: 51.44 51.44 90.00
Atoms (fractional coordinates):
As1 0.500 0.500 0.000
As2 0.250 0.750 0.500
Os1 0.561 0.125 0.250
Os2 0.189 0.625 0.250
Os3 0.375 0.439 0.750
Os4 0.875 0.811 0.750
In1 0.000 0.000 0.000
In2 0.750 0.250 0.500

---

no.,V (Å³ per atom)
1,29.51
2,20.56
3,12.08
4,26.12
5,32.77
6,16.51
7,17.27
8,13.24
9,19.72
10,20.41
11,29.42
12,18.02